No. 1
# PBE HfMg2PaN4, optimized geometry
# DOS(E_F), states/eV/cell: 3.8
# Formation energy without anion corrections, kcal/mol of atoms: -29.632
# Total DFT energy (no corrections), eV per atom: -8.277
# V, Å³ per atom: 12.46
data_HfMg2PaN4
_chemical_formula_sum 'Hf1 Mg2 Pa1 N4'
_cell_length_a 5.557
_cell_length_b 3.321
_cell_length_c 5.737
_cell_angle_alpha 90.00
_cell_angle_beta 109.60
_cell_angle_gamma 90.00
_space_group_name_H-M_alt 'P 1 2/m 1'
_space_group_IT_number 10
_space_group_name_Hall '-P 2y'
loop_
_atom_site_label
_atom_site_type_symbol
_atom_site_fract_x
_atom_site_fract_y
_atom_site_fract_z
_atom_site_occupancy
Hf1 Hf 0.000 0.000 0.000 1
Mg1 Mg 0.500 0.000 0.500 1
Mg2 Mg 0.500 0.500 0.000 1
Pa1 Pa 0.000 0.500 0.500 1
N1 N 0.238 0.500 0.241 1
N2 N 0.247 0.000 0.759 1

No. 2
# PBE AcTlPt2, optimized geometry
# DOS(E_F), states/eV/cell: 5.2
# Total DFT energy (no corrections), eV per atom: -5.326
# V, Å³ per atom: 24.49
# Formation energy, meV/atom: -687
data_AcTlPt2
_chemical_formula_sum 'Ac3 Tl3 Pt6'
_cell_length_a 4.7668
_cell_length_b 4.7668
_cell_length_c 14.9348
_cell_angle_alpha 90.00
_cell_angle_beta 90.00
_cell_angle_gamma 120.00
_space_group_name_H-M_alt 'R -3 m'
_space_group_IT_number 166
_space_group_name_Hall '-R 3 2"'
loop_
_atom_site_label
_atom_site_type_symbol
_atom_site_fract_x
_atom_site_fract_y
_atom_site_fract_z
_atom_site_occupancy
Ac1 Ac 0.0000 0.0000 0.0000 1
Tl1 Tl 0.0000 0.0000 0.5000 1
Pt1 Pt 0.0000 0.0000 0.2145 1